[1]
This record from the Alexandria database describes crystalline SrPaHgO4 at its relaxed geometry. The functional is GGA-PBE.

The structure belongs to space group Imma (No. 74); the cell edges are 6.084, 7.202 and 11.635 Å and the angles 90.00°, 90.00° and 90.00°. The distinct sites, in fractional coordinates, are Sr at (0.000, 0.250, 0.154), Pa at (0.000, 0.000, 0.500), Hg at (0.250, 0.250, 0.750), O at (0.000, 0.036, 0.321) and O at (0.225, 0.250, 0.505).

The total energy comes out at -195.22 eV/cell. The uncorrected formation energy is -2.499 eV/atom. The value obtained for the magnetization is 0.00 μB per formula unit.

[2]
This record from the Alexandria database describes crystalline Ti3Nb2Rh2 at its relaxed geometry. The functional is GGA-PBE.

The structure belongs to space group I4/mmm (No. 139); the cell edges are 3.182, 3.182 and 22.302 Å and the angles 90.00°, 90.00° and 90.00°. The distinct sites, in fractional coordinates, are Ti at (0.000, 0.000, 0.000), Ti at (0.000, 0.000, 0.138), Nb at (0.000, 0.000, 0.287) and Rh at (0.000, 0.000, 0.433).

The total energy comes out at -123.79 eV/cell. The value obtained for the magnetization is 0.00 μB per formula unit.

[3]
This record from the Alexandria database describes crystalline NdHoMg4 at its relaxed geometry. The functional is GGA-PBE.

The structure belongs to space group C2/m (No. 12); the cell edges are 13.908, 3.444 and 6.846 Å and the angles 90.00°, 104.22° and 90.00°. The distinct sites, in fractional coordinates, are Nd at (0.000, 0.000, 0.000), Ho at (0.000, 0.000, 0.500), Mg at (0.175, 0.500, 0.342) and Mg at (0.177, 0.500, 0.834).

The total energy comes out at -32.00 eV/cell. The value obtained for the magnetization is 0.00 μB per formula unit. The value obtained for the offset from the most stable computed form is 3.5 kJ per mole of atoms.

[4]
This record from the Alexandria database describes crystalline SmZr4N6 at its relaxed geometry. The functional is GGA-PBE.

The structure belongs to space group Cmcm (No. 63); the cell edges are 3.246, 10.822 and 16.544 Å and the angles 90.00°, 90.00° and 90.00°. The distinct sites, in fractional coordinates, are Sm at (0.000, 0.150, 0.250), Zr at (0.000, 0.106, 0.637), Zr at (0.000, 0.369, 0.548), N at (0.000, 0.000, 0.000), N at (0.000, 0.188, 0.750), N at (0.000, 0.270, 0.082) and N at (0.000, 0.466, 0.658).

The total energy comes out at -425.76 eV/cell. The uncorrected formation energy is -1.598 eV/atom. The value obtained for the magnetization is 0.00 μB per formula unit.

[5]
This record from the Alexandria database describes crystalline BeFe2Os at its relaxed geometry. The functional is GGA-PBE.

The structure belongs to space group I-42d (No. 122); the cell edges are 3.329, 3.329 and 17.016 Å and the angles 90.00°, 90.00° and 90.00°. The distinct sites, in fractional coordinates, are Be at (0.000, 0.000, 0.000), Fe at (0.226, 0.250, 0.125) and Os at (0.000, 0.000, 0.500).

The total energy comes out at -120.36 eV/cell. The value obtained for the magnetization is 3.06 μB per formula unit.